Entry 1:
Compound: CsRbNa2As
Source: Alexandria via LeMat-Bulk
Functional: PBE
Structure: relaxed

```
CsRbNa2As
1.0
5.950 0.000 0.000
0.000 5.950 0.000
0.000 0.000 6.866
Cs Na Rb As
1 2 1 1
Direct
0.500 0.500 0.500
0.500 0.000 0.000
0.000 0.500 0.000
0.000 0.000 0.500
0.000 0.000 0.000
```

Results
As for the energy relative to the elements: -0.1612 eV/atom.

---

Entry 2:
Compound: CaTe2Pt
Source: Alexandria via LeMat-Bulk
Functional: PBE
Structure: relaxed

```
CaTe2Pt
1.0
-3.522 -0.665 1.759
-1.375 -4.689 -4.525
1.287 -7.790 -0.367
Ca Te Pt
1 2 1
Direct
0.500 0.250 0.250
0.000 0.721 0.543
0.000 0.779 0.957
0.500 0.750 0.750
```

Results
Its total energy is -17.53 eV per cell.

---

Question: What is the formula in the second record?
Answer: CaTe2Pt

---

Question: What is the formula in the first record?
Answer: CsRbNa2As